Compound: VGaI2N
Source: Alexandria via LeMat-Bulk
Functional: GGA-PBE
Structure: optimized geometry

Formation energy from raw total energies: -6 kJ/mol of atoms
Excess energy over the best structure of this formula in the dataset: 0.000 eV per atom

abc: 5.731 5.731 3.725
angles: 90.00 90.00 90.00
Space group P4/mmm (No. 123)
Unique sites:
V  0.000  0.000  0.000
Ga  0.500  0.500  0.500
I  0.000  0.500  0.000
N  0.000  0.000  0.500

=====

Compound: TcTeOF2
Source: Alexandria via LeMat-Bulk
Functional: GGA-PBE
Structure: optimized geometry

Formation energy from raw total energies: -68 kJ/mol of atoms
Excess energy over the best structure of this formula in the dataset: 0.000 eV per atom

abc: 4.479 4.479 3.726
angles: 90.00 90.00 90.00
Space group P4/mmm (No. 123)
Unique sites:
Tc  0.000  0.000  0.000
Te  0.500  0.500  0.500
O  0.000  0.000  0.500
F  0.000  0.500  0.000